{
  "formula": "TcSbPdI2",
  "functional": "GGA-PBE",
  "state": "optimized geometry",
  "vol_a3_per_atom": 30.8,
  "sg": "P4/mmm, No. 123",
  "raw_formation_energy_mev_per_atom": 810,
  "crystal_system": "tetragonal",
  "de_polymorph_ev_per_atom": 0.000,
  "total_energy_ev_per_cell": -18.73,
  "cell": [[-3.8355, -3.9551, -0.3295], [3.1779, -3.3351, 3.0398], [-2.1790, 1.7622, 4.2115]],
  "species": ["Sb", "I", "Pd", "Tc", "I"],
  "fractional_positions": [[0.0000, 0.0000, 0.5000], [0.0000, 0.5000, 0.0000], [0.5000, 0.5000, 0.5000], [0.0000, 0.0000, 0.0000], [0.5000, 0.0000, 0.0000]]
}